Record 1
# Ta2AsCl GGA-PBE relaxed
data_Ta2AsCl
_cell_length_a 3.521
_cell_length_b 3.182
_cell_length_c 8.558
_cell_angle_alpha 90.00
_cell_angle_beta 100.43
_cell_angle_gamma 90.00
_space_group_name_H-M_alt 'P 1 m 1'
_space_group_IT_number 6
loop_
_space_group_symop_operation_xyz
'x,y,z'
'x,-y,z'
loop_
_atom_site_label
_atom_site_fract_x
_atom_site_fract_y
_atom_site_fract_z
Ta1 0.000 0.000 0.000
Ta2 0.412 0.500 0.798
As1 0.852 0.000 0.663
Cl1 0.100 0.500 0.229
# **Uncorrected energy**: -7.976 eV/atom
# **Calculated volume**: 23.57 A^3/atom
# **ΔE_f (raw)**: -164 kJ/mol of formula units

Record 2
# Ta2AsCl GGA-PBE relaxed
data_Ta2AsCl
_cell_length_a 2.849
_cell_length_b 5.822
_cell_length_c 8.804
_cell_angle_alpha 90.00
_cell_angle_beta 90.00
_cell_angle_gamma 90.00
_space_group_name_H-M_alt 'I m m m'
_space_group_IT_number 71
_space_group_name_Hall '-I 2 2'
loop_
_atom_site_label
_atom_site_fract_x
_atom_site_fract_y
_atom_site_fract_z
Ta1 0.000 0.000 0.243
As1 0.000 0.500 0.000
Cl1 0.000 0.500 0.500
# **Uncorrected energy**: -7.302 eV/atom
# **Calculated volume**: 18.25 A^3/atom
# **ΔE_f (raw)**: 96 kJ/mol of formula units

Record 3
# Ta2AsCl GGA-PBE relaxed
data_Ta2AsCl
_cell_length_a 6.630
_cell_length_b 6.630
_cell_length_c 6.630
_cell_angle_alpha 90.00
_cell_angle_beta 90.00
_cell_angle_gamma 90.00
_space_group_name_H-M_alt 'F -4 3 m'
_space_group_IT_number 216
_space_group_name_Hall 'F -4 2 3'
loop_
_atom_site_label
_atom_site_fract_x
_atom_site_fract_y
_atom_site_fract_z
Ta1 0.000 0.000 0.000
Ta2 0.250 0.250 0.250
As1 0.250 0.250 0.750
Cl1 0.000 0.000 0.500
# **Uncorrected energy**: -6.944 eV/atom
# **Calculated volume**: 18.21 A^3/atom
# **ΔE_f (raw)**: 234 kJ/mol of formula units

Record 4
# Ta2AsCl GGA-PBE relaxed
data_Ta2AsCl
_cell_length_a 3.311
_cell_length_b 3.311
_cell_length_c 7.874
_cell_angle_alpha 90.00
_cell_angle_beta 90.00
_cell_angle_gamma 90.00
_space_group_name_H-M_alt 'P 4 m m'
_space_group_IT_number 99
loop_
_space_group_symop_operation_xyz
'x,y,z'
'-y,x,z'
'-x,-y,z'
'y,-x,z'
'-x,y,z'
'y,x,z'
'x,-y,z'
'-y,-x,z'
loop_
_atom_site_label
_atom_site_fract_x
_atom_site_fract_y
_atom_site_fract_z
Ta1 0.000 0.000 0.000
Ta2 0.500 0.500 0.214
As1 0.000 0.000 0.361
Cl1 0.500 0.500 0.769
# **Uncorrected energy**: -7.742 eV/atom
# **Calculated volume**: 21.58 A^3/atom
# **ΔE_f (raw)**: -74 kJ/mol of formula units

Record 5
# Ta2AsCl GGA-PBE relaxed
data_Ta2AsCl
_cell_length_a 3.253
_cell_length_b 3.314
_cell_length_c 6.969
_cell_angle_alpha 90.00
_cell_angle_beta 90.00
_cell_angle_gamma 90.00
_space_group_name_H-M_alt 'P m m m'
_space_group_IT_number 47
loop_
_space_group_symop_operation_xyz
'x,y,z'
'-x,-y,-z'
'-x,-y,z'
'x,y,-z'
'x,-y,-z'
'-x,y,z'
'-x,y,-z'
'x,-y,z'
loop_
_atom_site_label
_atom_site_fract_x
_atom_site_fract_y
_atom_site_fract_z
Ta1 0.000 0.000 0.197
As1 0.500 0.500 0.000
Cl1 0.500 0.000 0.500
# **Uncorrected energy**: -7.576 eV/atom
# **Calculated volume**: 18.78 A^3/atom
# **ΔE_f (raw)**: -10 kJ/mol of formula units

Record 6
# TaTc2AsCl GGA-PBE relaxed
data_TaTc2AsCl
_cell_length_a 4.286
_cell_length_b 4.286
_cell_length_c 4.883
_cell_angle_alpha 90.00
_cell_angle_beta 90.00
_cell_angle_gamma 90.00
_space_group_name_H-M_alt 'P 4/m m m'
_space_group_IT_number 123
_space_group_name_Hall '-P 4 2'
loop_
_atom_site_label
_atom_site_fract_x
_atom_site_fract_y
_atom_site_fract_z
Ta1 0.000 0.000 0.000
Tc1 0.000 0.500 0.500
As1 0.500 0.500 0.000
Cl1 0.500 0.500 0.500
# **Uncorrected energy**: -6.449 eV/atom
# **Calculated volume**: 17.94 A^3/atom
# **ΔE_f (raw)**: 660 kJ/mol of formula units

Record 7
# TaTlAs2Cl GGA-PBE relaxed
data_TaTlAs2Cl
_cell_length_a 5.272
_cell_length_b 5.272
_cell_length_c 4.468
_cell_angle_alpha 90.00
_cell_angle_beta 90.00
_cell_angle_gamma 90.00
_space_group_name_H-M_alt 'P 4/m m m'
_space_group_IT_number 123
_space_group_name_Hall '-P 4 2'
loop_
_atom_site_label
_atom_site_fract_x
_atom_site_fract_y
_atom_site_fract_z
Ta1 0.000 0.000 0.000
Tl1 0.500 0.500 0.000
As1 0.000 0.500 0.500
Cl1 0.000 0.000 0.500
# **Uncorrected energy**: -4.007 eV/atom
# **Calculated volume**: 24.84 A^3/atom
# **ΔE_f (raw)**: 514 kJ/mol of formula units

Record 8
# Zr2TaAsCl GGA-PBE relaxed
data_Zr2TaAsCl
_cell_length_a 5.234
_cell_length_b 5.234
_cell_length_c 4.862
_cell_angle_alpha 90.00
_cell_angle_beta 90.00
_cell_angle_gamma 90.00
_space_group_name_H-M_alt 'P 4/m m m'
_space_group_IT_number 123
_space_group_name_Hall '-P 4 2'
loop_
_atom_site_label
_atom_site_fract_x
_atom_site_fract_y
_atom_site_fract_z
Zr1 0.000 0.500 0.000
Ta1 0.000 0.000 0.000
As1 0.000 0.000 0.500
Cl1 0.500 0.500 0.500
# **Uncorrected energy**: -6.564 eV/atom
# **Calculated volume**: 26.64 A^3/atom
# **ΔE_f (raw)**: 253 kJ/mol of formula units